! PBE CdFeSb6, optimized geometry; values from VASP
&SYSTEM
  ibrav = 0, nat = 16, ntyp = 3
/
ATOMIC_SPECIES
Sb 121.76 Sb.upf
Cd 112.41 Cd.upf
Fe 55.84 Fe.upf
CELL_PARAMETERS angstrom
-0.7947 -0.3586 -8.3787
7.0218 3.9740 2.4216
0.2578 -7.6726 2.9433
ATOMIC_POSITIONS crystal
Sb 0.8596 0.6229 0.4825
Sb 0.1404 0.3771 0.5175
Sb 0.3162 0.4919 0.1238
Sb 0.1579 0.6842 0.8420
Sb 0.8094 0.1808 0.6750
Sb 0.4942 0.8657 0.6750
Sb 0.3681 0.1924 0.8762
Sb 0.1906 0.8192 0.3250
Sb 0.8421 0.3158 0.1580
Sb 0.5058 0.1343 0.3250
Sb 0.6319 0.8076 0.1238
Sb 0.6838 0.5081 0.8762
Cd 0.0000 0.0000 0.5000
Cd 0.5000 0.5000 0.5000
Fe 0.0000 0.5000 0.0000
Fe 0.5000 0.0000 0.0000
! E_form (uncorrected) in meV/atom: 53
! Electronic total energy in eV per atom: -4.211
! Total moment in μB/f.u.: 0.3
! Space-group type: C2/m (12)
! Crystal system: monoclinic